1.
Below is a relaxed Na2LaF6 crystal, with properties calculated at the PBE-GGA level.

Summary:
space group = No. 12
formation energy from raw total energies = -27.0 eV/f.u.

a = 4.425 Å, b = 4.425 Å, c = 7.528 Å
α = 107.11°, β = 107.09°, γ = 89.99°
Each line ends with the local moment (μB).
Fractional coordinates of all 9 atoms:
1 Na 0.250 0.250 0.500  0.00
2 Na 0.750 0.750 0.500  0.00
3 La 0.000 0.500 0.000  -0.01
4 F 0.084 0.084 0.167  0.17
5 F 0.203 0.703 0.405  0.12
6 F 0.797 0.297 0.595  0.12
7 F 0.416 0.415 0.833  0.17
8 F 0.584 0.585 0.167  0.17
9 F 0.916 0.916 0.833  0.17

***

2.
Below is a relaxed Ba7TlPt3 crystal, with properties calculated at the PBE-GGA level.

Summary:
space group = No. 12
formation energy = -0.53 eV per atom

a = 7.812 Å, b = 8.023 Å, c = 7.812 Å
α = 102.20°, β = 96.61°, γ = 102.20°
Fractional coordinates of all 11 atoms:
1 Ba 0.856 0.779 0.856
2 Ba 0.957 0.729 0.371
3 Ba 0.629 0.271 0.043
4 Ba 0.371 0.729 0.957
5 Ba 0.500 0.000 0.500
6 Ba 0.043 0.271 0.629
7 Ba 0.144 0.221 0.144
8 Tl 0.500 0.500 0.500
9 Pt 0.224 0.000 0.776
10 Pt 0.000 0.500 0.000
11 Pt 0.776 0.000 0.224

***

3.
Below is a relaxed AcLa3Pr2Te6 crystal, with properties calculated at the PBE-GGA level.

Summary:
space group = No. 12
formation energy from raw total energies = -18.3 eV/f.u.

a = 7.964 Å, b = 7.964 Å, c = 7.954 Å
α = 99.62°, β = 99.62°, γ = 120.25°
Fractional coordinates of all 12 atoms:
1 Ac 0.000 0.000 0.000
2 La 0.163 0.837 0.500
3 La 0.837 0.163 0.500
4 La 0.500 0.500 0.500
5 Pr 0.332 0.668 0.000
6 Pr 0.668 0.332 0.000
7 Te 0.915 0.576 0.747
8 Te 0.742 0.742 0.249
9 Te 0.085 0.424 0.253
10 Te 0.576 0.915 0.747
11 Te 0.258 0.258 0.751
12 Te 0.424 0.085 0.253

***

4.
Below is a relaxed Sm2Er2Th crystal, with properties calculated at the PBE-GGA level.

Summary:
space group = No. 166
energy above the most stable polymorph in this dataset = 0.000 kcal/mol of atoms
formation energy = 0.01 eV per atom

a = 3.582 Å, b = 3.582 Å, c = 14.590 Å
α = 82.95°, β = 82.95°, γ = 60.00°
Fractional coordinates of all 5 atoms:
1 Sm 0.799 0.799 0.602
2 Sm 0.201 0.201 0.398
3 Er 0.398 0.398 0.806
4 Er 0.602 0.602 0.194
5 Th 0.000 0.000 0.000